Record 1
Density functional theory data (PBE) for crystalline TmIn2Hg5 at its relaxed geometry.

- Volume: 198.04 Å³/cell
- Space group: I4/mmm (139)
- Formation energy: -0.148 eV/atom

Cell lengths 9.752, 9.752, 9.752 Å; angles 152.45, 152.45, 39.36 degrees
Positions (direct):
Tm: 0.000 0.000 0.000
In: 0.245 0.245 0.000
In: 0.755 0.755 0.000
Hg: 0.122 0.622 0.500
Hg: 0.378 0.878 0.500
Hg: 0.500 0.500 0.000
Hg: 0.622 0.122 0.500
Hg: 0.878 0.378 0.500



Record 2
Density functional theory data (PBE) for crystalline Tm6InHg2 at its relaxed geometry.

- Volume: 500.49 Å³/cell
- Space group: Immm (71)
- Formation energy: -0.281 eV/atom

Cell lengths 8.668, 8.668, 8.668 Å; angles 111.37, 110.20, 106.88 degrees
Positions (direct):
Tm: 0.041 0.823 0.219
Tm: 0.246 0.546 0.300
Tm: 0.246 0.947 0.700
Tm: 0.273 0.319 0.592
Tm: 0.273 0.681 0.955
Tm: 0.396 0.177 0.219
Tm: 0.604 0.823 0.781
Tm: 0.727 0.319 0.045
Tm: 0.727 0.681 0.408
Tm: 0.754 0.053 0.300
Tm: 0.754 0.454 0.700
Tm: 0.959 0.177 0.781
In: 0.000 0.500 0.500
In: 0.500 0.000 0.500
Hg: 0.000 0.153 0.153
Hg: 0.000 0.847 0.847
Hg: 0.363 0.363 0.000
Hg: 0.637 0.637 0.000



Record 3
Density functional theory data (PBE) for crystalline Tm4InHg at its relaxed geometry.

- Volume: 184.50 Å³/cell
- Space group: P4/mmm (123)
- Formation energy: -0.102 eV/atom

Cell lengths 5.058, 5.058, 7.212 Å; angles 90.00, 90.00, 90.00 degrees
Positions (direct):
Tm: 0.000 0.500 0.242
Tm: 0.000 0.500 0.758
Tm: 0.500 0.000 0.242
Tm: 0.500 0.000 0.758
In: 0.000 0.000 0.500
Hg: 0.500 0.500 0.000



Record 4
Density functional theory data (PBE) for crystalline Tm4In2Hg at its relaxed geometry.

- Volume: 392.93 Å³/cell
- Space group: P2_1/m (11)
- E above lowest polymorph: 65 meV per atom
- Formation energy: -0.228 eV/atom

Cell lengths 7.145, 6.618, 8.960 Å; angles 90.00, 111.95, 90.00 degrees
Positions (direct):
Tm: 0.099 0.250 0.057
Tm: 0.158 0.007 0.726
Tm: 0.158 0.493 0.726
Tm: 0.306 0.750 0.326
Tm: 0.694 0.250 0.674
Tm: 0.842 0.507 0.274
Tm: 0.842 0.993 0.274
Tm: 0.901 0.750 0.943
In: 0.222 0.250 0.444
In: 0.441 0.750 0.032
In: 0.559 0.250 0.968
In: 0.778 0.750 0.556
Hg: 0.475 0.750 0.689
Hg: 0.525 0.250 0.311



Record 5
Density functional theory data (PBE) for crystalline Tm7In4Hg at its relaxed geometry.

- Volume: 350.93 Å³/cell
- Space group: C2/m (12)
- Formation energy: -0.131 eV/atom

Cell lengths 7.745, 7.745, 11.069 Å; angles 124.91, 124.91, 41.98 degrees
Positions (direct):
Tm: 0.000 0.000 0.000
Tm: 0.156 0.156 0.591
Tm: 0.284 0.284 0.134
Tm: 0.428 0.428 0.677
Tm: 0.572 0.572 0.323
Tm: 0.716 0.716 0.866
Tm: 0.844 0.844 0.409
In: 0.067 0.067 0.778
In: 0.206 0.206 0.341
In: 0.794 0.794 0.659
In: 0.933 0.933 0.222
Hg: 0.500 0.500 0.000



Record 6
Density functional theory data (PBE) for crystalline Tm4InHg3 at its relaxed geometry.

- Volume: 200.15 Å³/cell
- Space group: P4/mmm (123)
- Formation energy: -0.464 eV/atom

Cell lengths 3.673, 3.673, 14.836 Å; angles 90.00, 90.00, 90.00 degrees
Positions (direct):
Tm: 0.000 0.000 0.124
Tm: 0.000 0.000 0.370
Tm: 0.000 0.000 0.630
Tm: 0.000 0.000 0.876
In: 0.500 0.500 0.500
Hg: 0.500 0.500 0.000
Hg: 0.500 0.500 0.247
Hg: 0.500 0.500 0.753



Record 7
Density functional theory data (PBE) for crystalline Tm2In5Hg at its relaxed geometry.

- Volume: 388.50 Å³/cell
- Space group: Pbam (55)
- Formation energy: -0.353 eV/atom

Cell lengths 6.469, 12.957, 4.635 Å; angles 90.00, 90.00, 90.00 degrees
Positions (direct):
Tm: 0.250 0.126 0.000
Tm: 0.250 0.626 0.000
Tm: 0.750 0.374 0.000
Tm: 0.750 0.874 0.000
In: 0.000 0.000 0.500
In: 0.000 0.251 0.500
In: 0.000 0.749 0.500
In: 0.249 0.376 0.000
In: 0.251 0.876 0.000
In: 0.500 0.249 0.500
In: 0.500 0.500 0.500
In: 0.500 0.751 0.500
In: 0.749 0.124 0.000
In: 0.751 0.624 0.000
Hg: 0.000 0.500 0.500
Hg: 0.500 0.000 0.500



Record 8
Density functional theory data (PBE) for crystalline TmIn2Hg8 at its relaxed geometry.

- Volume: 282.90 Å³/cell
- Space group: P-1 (2)
- Formation energy: -0.086 eV/atom

Cell lengths 3.551, 6.871, 12.115 Å; angles 90.97, 97.49, 104.83 degrees
Positions (direct):
Tm: 0.000 0.000 0.000
In: 0.437 0.537 0.352
In: 0.563 0.463 0.648
Hg: 0.109 0.945 0.277
Hg: 0.176 0.806 0.534
Hg: 0.284 0.718 0.838
Hg: 0.379 0.662 0.100
Hg: 0.621 0.338 0.900
Hg: 0.716 0.282 0.162
Hg: 0.824 0.194 0.466
Hg: 0.891 0.055 0.723



Record 9
Density functional theory data (PBE) for crystalline Tm5In2Hg2 at its relaxed geometry.

- Volume: 489.37 Å³/cell
- Space group: Cmce (64)
- Formation energy: -0.353 eV/atom

Cell lengths 9.109, 9.109, 7.144 Å; angles 90.00, 90.00, 55.65 degrees
Positions (direct):
Tm: 0.000 0.000 0.000
Tm: 0.047 0.674 0.660
Tm: 0.174 0.547 0.160
Tm: 0.326 0.953 0.660
Tm: 0.453 0.826 0.160
Tm: 0.500 0.500 0.500
Tm: 0.547 0.174 0.840
Tm: 0.674 0.047 0.340
Tm: 0.826 0.453 0.840
Tm: 0.953 0.326 0.340
In: 0.211 0.211 0.000
In: 0.289 0.289 0.500
In: 0.711 0.711 0.500
In: 0.789 0.789 0.000
Hg: 0.144 0.856 0.380
Hg: 0.356 0.644 0.880
Hg: 0.644 0.356 0.120
Hg: 0.856 0.144 0.620



Record 10
Density functional theory data (PBE) for crystalline Tm3InHg6 at its relaxed geometry.

- Volume: 487.47 Å³/cell
- Space group: P2_1/m (11)
- Formation energy: -0.307 eV/atom

Cell lengths 8.998, 5.089, 11.447 Å; angles 90.00, 111.57, 90.00 degrees
Positions (direct):
Tm: 0.046 0.250 0.388
Tm: 0.159 0.750 0.211
Tm: 0.275 0.250 0.990
Tm: 0.725 0.750 0.010
Tm: 0.841 0.250 0.789
Tm: 0.954 0.750 0.612
In: 0.447 0.250 0.581
In: 0.553 0.750 0.419
Hg: 0.032 0.750 0.918
Hg: 0.154 0.250 0.695
Hg: 0.235 0.750 0.511
Hg: 0.339 0.750 0.827
Hg: 0.354 0.250 0.289
Hg: 0.449 0.750 0.126
Hg: 0.551 0.250 0.874
Hg: 0.646 0.750 0.711
Hg: 0.661 0.250 0.173
Hg: 0.765 0.250 0.489
Hg: 0.846 0.750 0.305
Hg: 0.968 0.250 0.082



Record 11
Density functional theory data (PBE) for crystalline Tm12In6Hg at its relaxed geometry.

- Volume: 632.71 Å³/cell
- Space group: R-3 (148)
- Formation energy: -0.006 eV/atom

Cell lengths 8.757, 8.757, 8.757 Å; angles 100.51, 100.51, 100.51 degrees
Positions (direct):
Tm: 0.057 0.320 0.942
Tm: 0.058 0.943 0.680
Tm: 0.179 0.569 0.429
Tm: 0.320 0.942 0.057
Tm: 0.429 0.179 0.569
Tm: 0.431 0.571 0.821
Tm: 0.569 0.429 0.179
Tm: 0.571 0.821 0.431
Tm: 0.680 0.058 0.943
Tm: 0.821 0.431 0.571
Tm: 0.942 0.057 0.320
Tm: 0.943 0.680 0.058
In: 0.137 0.303 0.614
In: 0.303 0.614 0.137
In: 0.386 0.863 0.697
In: 0.614 0.137 0.303
In: 0.697 0.386 0.863
In: 0.863 0.697 0.386
Hg: 0.000 0.000 0.000



Record 12
Density functional theory data (PBE) for crystalline Tm3InHg5 at its relaxed geometry.

- Volume: 431.52 Å³/cell
- Space group: P6_3/mcm (193)
- Formation energy: -0.380 eV/atom

Cell lengths 8.884, 8.884, 6.313 Å; angles 90.00, 90.00, 120.00 degrees
Positions (direct):
Tm: 0.000 0.341 0.250
Tm: 0.000 0.659 0.750
Tm: 0.341 0.000 0.250
Tm: 0.341 0.341 0.750
Tm: 0.659 0.000 0.750
Tm: 0.659 0.659 0.250
In: 0.000 0.000 0.000
In: 0.000 0.000 0.500
Hg: 0.000 0.327 0.750
Hg: 0.000 0.673 0.250
Hg: 0.327 0.000 0.750
Hg: 0.327 0.327 0.250
Hg: 0.333 0.667 0.000
Hg: 0.333 0.667 0.500
Hg: 0.667 0.333 0.000
Hg: 0.667 0.333 0.500
Hg: 0.673 0.000 0.250
Hg: 0.673 0.673 0.750



Record 13
Density functional theory data (PBE) for crystalline Tm4InHg5 at its relaxed geometry.

- Volume: 246.82 Å³/cell
- Space group: P4/mmm (123)
- Formation energy: -0.395 eV/atom

Cell lengths 3.707, 3.707, 17.963 Å; angles 90.00, 90.00, 90.00 degrees
Positions (direct):
Tm: 0.000 0.000 0.101
Tm: 0.000 0.000 0.304
Tm: 0.000 0.000 0.696
Tm: 0.000 0.000 0.899
In: 0.000 0.000 0.500
Hg: 0.500 0.500 0.000
Hg: 0.500 0.500 0.199
Hg: 0.500 0.500 0.398
Hg: 0.500 0.500 0.602
Hg: 0.500 0.500 0.801



Record 14
Density functional theory data (PBE) for crystalline Tm2InHg2 at its relaxed geometry.

- Volume: 250.24 Å³/cell
- Space group: P4/mbm (127)
- Formation energy: -0.413 eV/atom

Cell lengths 8.021, 8.021, 3.890 Å; angles 90.00, 90.00, 90.00 degrees
Positions (direct):
Tm: 0.170 0.330 0.000
Tm: 0.330 0.830 0.000
Tm: 0.670 0.170 0.000
Tm: 0.830 0.670 0.000
In: 0.000 0.000 0.500
In: 0.500 0.500 0.500
Hg: 0.130 0.630 0.500
Hg: 0.370 0.130 0.500
Hg: 0.630 0.870 0.500
Hg: 0.870 0.370 0.500



Record 15
Density functional theory data (PBE) for crystalline Tm3In4Hg2 at its relaxed geometry.

- Volume: 221.81 Å³/cell
- Space group: C2/m (12)
- E above lowest polymorph: 0 meV per atom
- Formation energy: -0.359 eV/atom

Cell lengths 6.084, 6.084, 9.258 Å; angles 116.17, 116.17, 47.63 degrees
Positions (direct):
Tm: 0.000 0.000 0.000
Tm: 0.331 0.331 0.338
Tm: 0.669 0.669 0.662
In: 0.034 0.034 0.367
In: 0.283 0.283 0.946
In: 0.717 0.717 0.054
In: 0.966 0.966 0.633
Hg: 0.366 0.366 0.697
Hg: 0.634 0.634 0.303



Record 16
Density functional theory data (PBE) for crystalline TmIn6Hg8 at its relaxed geometry.

- Volume: 396.13 Å³/cell
- Space group: R-3 (148)
- Formation energy: -0.042 eV/atom

Cell lengths 7.914, 7.914, 7.914 Å; angles 66.01, 66.01, 66.01 degrees
Positions (direct):
Tm: 0.000 0.000 0.000
In: 0.074 0.265 0.538
In: 0.265 0.538 0.074
In: 0.462 0.926 0.735
In: 0.538 0.074 0.265
In: 0.735 0.462 0.926
In: 0.926 0.735 0.462
Hg: 0.123 0.804 0.675
Hg: 0.196 0.325 0.877
Hg: 0.325 0.877 0.196
Hg: 0.421 0.421 0.421
Hg: 0.579 0.579 0.579
Hg: 0.675 0.123 0.804
Hg: 0.804 0.675 0.123
Hg: 0.877 0.196 0.325



Record 17
Density functional theory data (PBE) for crystalline TmIn4Hg7 at its relaxed geometry.

- Volume: 308.01 Å³/cell
- Space group: P-3m1 (164)
- Formation energy: -0.078 eV/atom

Cell lengths 5.088, 5.088, 13.737 Å; angles 90.00, 90.00, 120.00 degrees
Positions (direct):
Tm: 0.000 0.000 0.000
In: 0.333 0.667 0.150
In: 0.333 0.667 0.407
In: 0.667 0.333 0.593
In: 0.667 0.333 0.850
Hg: 0.000 0.000 0.237
Hg: 0.000 0.000 0.500
Hg: 0.000 0.000 0.763
Hg: 0.333 0.667 0.661
Hg: 0.333 0.667 0.915
Hg: 0.667 0.333 0.085
Hg: 0.667 0.333 0.339



Record 18
Density functional theory data (PBE) for crystalline Tm3In2Hg2 at its relaxed geometry.

- Volume: 174.75 Å³/cell
- Space group: Cmmm (65)
- Formation energy: -0.357 eV/atom

Cell lengths 11.674, 11.674, 3.394 Å; angles 90.00, 90.00, 157.80 degrees
Positions (direct):
Tm: 0.000 0.000 0.000
Tm: 0.149 0.851 0.000
Tm: 0.851 0.149 0.000
In: 0.288 0.712 0.500
In: 0.712 0.288 0.500
Hg: 0.428 0.572 0.500
Hg: 0.572 0.428 0.500



Record 19
Density functional theory data (PBE) for crystalline Tm8InHg2 at its relaxed geometry.

- Volume: 315.74 Å³/cell
- Space group: C2/m (12)
- E above lowest polymorph: 32 meV per atom
- Formation energy: -0.140 eV/atom

Cell lengths 8.383, 8.383, 5.388 Å; angles 100.45, 100.45, 117.18 degrees
Positions (direct):
Tm: 0.094 0.328 0.610
Tm: 0.223 0.777 0.000
Tm: 0.328 0.094 0.610
Tm: 0.396 0.396 0.198
Tm: 0.604 0.604 0.802
Tm: 0.672 0.906 0.390
Tm: 0.777 0.223 0.000
Tm: 0.906 0.672 0.390
In: 0.000 0.000 0.000
Hg: 0.305 0.695 0.500
Hg: 0.695 0.305 0.500



Record 20
Density functional theory data (PBE) for crystalline Tm8InHg2 at its relaxed geometry.

- Volume: 303.13 Å³/cell
- Space group: Immm (71)
- E above lowest polymorph: 0 meV per atom
- Formation energy: -0.172 eV/atom

Cell lengths 8.802, 8.802, 8.802 Å; angles 147.32, 123.52, 66.80 degrees
Positions (direct):
Tm: 0.121 0.339 0.783
Tm: 0.140 0.140 0.000
Tm: 0.307 0.000 0.307
Tm: 0.444 0.661 0.783
Tm: 0.556 0.339 0.217
Tm: 0.693 0.000 0.693
Tm: 0.860 0.860 0.000
Tm: 0.879 0.661 0.217
In: 0.000 0.500 0.500
Hg: 0.301 0.801 0.500
Hg: 0.699 0.199 0.500